The following is a PBE calculation of HoErTh2 after structural relaxation, from Alexandria.

DFT total energy (eV per atom): -5.96
Offset from the most stable computed form (kcal/mol of atoms): 0.00
Symmetry: R-3m (166)
Formation enthalpy at 0 K (kcal/mol of atoms): 0.7

a b c (Å): 3.560 3.560 11.627
angles (deg): 81.19 81.19 60.00
Element x y z (fractional)
Ho (0.500, 0.500, 0.500)
Th (0.750, 0.750, 0.751)
Th (0.250, 0.250, 0.249)
Er (0.000, 0.000, 0.000)

The following is a PBE calculation of K2SrU3S8 after structural relaxation, from Alexandria.

DFT total energy (eV per atom): -6.51
Uncorrected formation energy (eV/atom): -1.452
Symmetry: R3m (160)

a b c (Å): 8.250 8.250 8.750
angles (deg): 61.87 61.87 60.00
Each line ends with the local moment (μB).
Element x y z (fractional)
Sr (0.877, 0.877, 0.368)  0.00
K (0.129, 0.129, 0.613)  0.00
S (0.696, 0.245, 0.814)  -0.06
S (0.735, 0.735, 0.795)  -0.05
S (0.245, 0.245, 0.814)  -0.06
S (0.295, 0.753, 0.200)  -0.05
K (0.498, 0.498, 0.506)  0.00
U (0.002, 0.499, 0.001)  2.06
U (0.499, 0.499, 0.001)  2.06
S (0.753, 0.295, 0.200)  -0.05
S (0.753, 0.753, 0.200)  -0.05
S (0.245, 0.696, 0.814)  -0.06
U (0.499, 0.002, 0.001)  2.06
S (0.269, 0.269, 0.193)  -0.06

The following is a PBE calculation of Er5Mg12Ru3 after structural relaxation, from Alexandria.

DFT total energy (eV per atom): -2.67
Symmetry: Ia-3d (230)
Formation enthalpy at 0 K (kcal/mol of atoms): 18.9

a b c (Å): 14.444 14.444 14.444
angles (deg): 109.47 109.47 109.47
Element x y z (fractional)
Mg (0.844, 0.952, 0.092)
Mg (0.608, 0.860, 0.452)
Er (0.875, 0.625, 0.750)
Er (0.000, 0.500, 0.500)
Mg (0.640, 0.092, 0.248)
Er (0.250, 0.375, 0.625)
Er (0.500, 0.000, 0.500)
Er (0.250, 0.875, 0.125)
Mg (0.748, 0.140, 0.092)
Er (0.875, 0.250, 0.625)
Ru (0.625, 0.375, 0.750)
Er (0.625, 0.750, 0.875)
Mg (0.640, 0.548, 0.892)
Mg (0.952, 0.108, 0.860)
Mg (0.548, 0.908, 0.656)
Mg (0.140, 0.392, 0.048)
Mg (0.656, 0.408, 0.548)
Er (0.500, 0.500, 0.500)
Ru (0.875, 0.125, 0.250)
Er (0.000, 0.500, 0.000)
Mg (0.844, 0.892, 0.252)
Mg (0.892, 0.844, 0.752)
Er (0.375, 0.250, 0.125)
Ru (0.250, 0.625, 0.875)
Er (0.750, 0.625, 0.375)
Mg (0.344, 0.592, 0.452)
Mg (0.392, 0.140, 0.548)
Mg (0.752, 0.408, 0.360)
Er (0.125, 0.750, 0.375)
Mg (0.748, 0.608, 0.156)
Mg (0.408, 0.752, 0.860)
Mg (0.892, 0.048, 0.640)
Mg (0.548, 0.640, 0.392)
Er (0.375, 0.125, 0.750)
Mg (0.048, 0.156, 0.408)
Mg (0.608, 0.748, 0.656)
Ru (0.375, 0.625, 0.250)
Mg (0.156, 0.048, 0.908)
Er (0.000, 0.000, 0.000)
Mg (0.656, 0.248, 0.608)
Mg (0.248, 0.656, 0.108)
Ru (0.250, 0.125, 0.375)
Mg (0.452, 0.360, 0.608)
Mg (0.752, 0.344, 0.892)
Ru (0.875, 0.750, 0.125)
Mg (0.952, 0.844, 0.592)
Mg (0.252, 0.392, 0.844)
Ru (0.750, 0.375, 0.125)
Ru (0.375, 0.750, 0.625)
Er (0.500, 0.000, 0.000)
Mg (0.908, 0.360, 0.252)
Mg (0.360, 0.452, 0.108)
Mg (0.108, 0.156, 0.248)
Mg (0.344, 0.752, 0.392)
Mg (0.248, 0.592, 0.640)
Er (0.500, 0.500, 0.000)
Mg (0.860, 0.252, 0.408)
Mg (0.860, 0.608, 0.952)
Mg (0.408, 0.656, 0.048)
Mg (0.360, 0.908, 0.752)
Er (0.000, 0.000, 0.500)
Ru (0.125, 0.875, 0.750)
Ru (0.125, 0.250, 0.875)
Mg (0.048, 0.892, 0.140)
Mg (0.092, 0.452, 0.844)
Mg (0.592, 0.344, 0.952)
Mg (0.452, 0.092, 0.344)
Er (0.125, 0.375, 0.250)
Mg (0.156, 0.108, 0.748)
Er (0.625, 0.875, 0.250)
Mg (0.592, 0.248, 0.140)
Er (0.750, 0.125, 0.875)
Mg (0.908, 0.548, 0.156)
Mg (0.140, 0.748, 0.592)
Mg (0.092, 0.640, 0.748)
Mg (0.392, 0.252, 0.344)
Mg (0.108, 0.952, 0.360)
Mg (0.252, 0.860, 0.908)
Ru (0.625, 0.250, 0.375)
Ru (0.750, 0.875, 0.625)

The following is a PBE calculation of Ac6Te2Ir3 after structural relaxation, from Alexandria.

DFT total energy (eV per atom): -6.18
Uncorrected formation energy (eV/atom): -0.954
Symmetry: C2/m (12)

a b c (Å): 7.598 7.597 8.564
angles (deg): 81.43 72.67 59.99
Element x y z (fractional)
Ac (0.600, 0.343, 0.199)
Ac (0.400, 0.657, 0.801)
Te (0.834, 0.332, 0.500)
Ac (0.742, 0.000, 0.802)
Ac (0.942, 0.657, 0.199)
Ir (0.332, 0.336, 0.000)
Te (0.166, 0.668, 0.500)
Ir (0.000, 0.000, 0.000)
Ir (0.668, 0.664, 0.000)
Ac (0.258, 0.000, 0.198)
Ac (0.058, 0.343, 0.801)

The following is a PBE calculation of MnCrPRu after structural relaxation, from Alexandria.

DFT total energy (eV per atom): -8.60
Symmetry: F-43m (216)
Formation enthalpy at 0 K (kcal/mol of atoms): -5.4

a b c (Å): 4.096 4.096 4.096
angles (deg): 60.00 60.00 60.00
Each line ends with the local moment (μB).
Element x y z (fractional)
P (0.000, 0.000, 0.000)  0.07
Mn (0.500, 0.500, 0.500)  2.78
Ru (0.750, 0.750, 0.750)  0.11
Cr (0.250, 0.250, 0.250)  -1.00

The following is a PBE calculation of Y2Al3Zn4Ga after structural relaxation, from Alexandria.

DFT total energy (eV per atom): -3.61
Symmetry: P-4m2 (115)
Formation enthalpy at 0 K (kcal/mol of atoms): -8.8

a b c (Å): 4.164 4.164 10.733
angles (deg): 90.00 90.00 90.00
Element x y z (fractional)
Ga (0.500, 0.500, 0.500)
Al (0.000, 0.000, 0.500)
Al (0.500, 0.000, 0.865)
Zn (0.500, 0.500, 0.000)
Zn (0.500, 0.000, 0.640)
Zn (0.000, 0.500, 0.360)
Zn (0.000, 0.000, 0.000)
Y (0.000, 0.500, 0.752)
Al (0.000, 0.500, 0.135)
Y (0.500, 0.000, 0.248)

The following is a PBE calculation of Na2TbPuTe4 after structural relaxation, from Alexandria.

DFT total energy (eV per atom): -5.44
Uncorrected formation energy (eV/atom): -1.168
Symmetry: P2/m (10)

a b c (Å): 4.477 7.752 7.957
angles (deg): 109.10 90.00 90.00
Each line ends with the local moment (μB).
Element x y z (fractional)
Te (0.000, 0.742, 0.234)  -0.04
Na (0.000, 0.500, 0.500)  0.00
Te (0.000, 0.258, 0.766)  -0.04
Te (0.500, 0.753, 0.767)  -0.08
Pu (0.000, 0.000, 0.000)  5.19
Te (0.500, 0.247, 0.233)  -0.08
Tb (0.500, 0.500, 0.000)  0.02
Na (0.500, 0.000, 0.500)  0.00

The following is a PBE calculation of CaCoOs2 after structural relaxation, from Alexandria.

DFT total energy (eV per atom): -6.85
Offset from the most stable computed form (kcal/mol of atoms): 15.93
Symmetry: Fm-3m (225)
Formation enthalpy at 0 K (kcal/mol of atoms): 24.0

a b c (Å): 4.423 4.423 4.423
angles (deg): 60.00 60.00 60.00
Element x y z (fractional)
Os (0.250, 0.250, 0.250)
Ca (0.000, 0.000, 0.000)
Co (0.500, 0.500, 0.500)
Os (0.750, 0.750, 0.750)

Number 1: ρ 10.52 g/cm3, M_tot 0.0 Bohr magnetons per cell, volume 31.407 A^3/atom. Number 2: ρ 4.36 g/cm3, M_tot 6.0 Bohr magnetons per cell, volume 30.904 A^3/atom. Number 3: ρ 4.10 g/cm3, M_tot 0.0 Bohr magnetons per cell, volume 28.996 A^3/atom. Number 4: ρ 8.91 g/cm3, M_tot 0.0 Bohr magnetons per cell, volume 37.150 A^3/atom. Number 5: ρ 8.17 g/cm3, M_tot 2.0 Bohr magnetons per cell, volume 12.149 A^3/atom. Number 6: ρ 5.27 g/cm3, M_tot 0.0 Bohr magnetons per cell, volume 18.611 A^3/atom. Number 7: ρ 6.10 g/cm3, M_tot 5.0 Bohr magnetons per cell, volume 32.619 A^3/atom. Number 8: ρ 13.01 g/cm3, M_tot 0.0 Bohr magnetons per cell, volume 15.297 A^3/atom.